The following is a GGA-PBEsol calculation of La2SiCl after structural relaxation, from the Alexandria database.

Structure (CIF):
```
data_La2SiCl
_cell_length_a 4.2348
_cell_length_b 4.2348
_cell_length_c 11.3979
_cell_angle_alpha 90.00
_cell_angle_beta 90.00
_cell_angle_gamma 90.00
_symmetry_space_group_name_H-M 'I -4 m 2'
_symmetry_Int_Tables_number 119
_symmetry_space_group_name_Hall 'I -4 -2'
loop_
_atom_site_label
_atom_site_fract_x
_atom_site_fract_y
_atom_site_fract_z
La1 0.0000 0.0000 0.0000
La2 0.0000 0.5000 0.2500
Si1 0.0000 0.0000 0.5000
Cl1 0.0000 0.5000 0.7500
```

Formation energy (no corrections) in eV per atom: -0.804
Relative energy among the computed polymorphs in meV/atom: 461
Calculated density in g/cm3: 5.546